# LaFeCl2

A geometry-optimized LaFeCl2 structure (GGA-PBE, Alexandria via LeMat-Bulk).

Properties
- VASP energy (eV/cell) = -20.47
- crystal system = trigonal
- formation energy from raw total energies (meV per atom) = -848
- symmetry = R3m, No. 160
- magnetic moment (μB/f.u.) = 1.0
- relative energy among the computed polymorphs (meV per atom) = 77.2

```
LaFeCl2
1.0
7.5000 -0.0614 -0.0371
6.4722 3.7900 -0.0371
6.4722 1.7272 3.3738
Fe La Cl
1 1 2
direct
0.5165 0.5165 0.5165
0.7700 0.7700 0.7700
0.0162 0.0162 0.0162
0.1973 0.1973 0.1973
```